Density functional theory data (PBE) for InHg4Pb5 after structural relaxation.

a = 3.663 Å, b = 3.663 Å, c = 21.076 Å
α = 90.00°, β = 90.00°, γ = 90.00°
Space group P4/mmm (No. 123)
Asymmetric unit:
1 In 0.000 0.000 0.000
2 Hg 0.000 0.000 0.206
3 Hg 0.000 0.000 0.402
4 Pb 0.500 0.500 0.107
5 Pb 0.500 0.500 0.303
6 Pb 0.500 0.500 0.500

The formation energy from the elements comes out at 12 meV/atom.

Density functional theory data (PBE) for In3Hg2Pb7 after structural relaxation.

a = 6.415 Å, b = 3.418 Å, c = 16.445 Å
α = 90.00°, β = 90.47°, γ = 90.00°
Space group P2/m (No. 10)
Asymmetric unit:
1 In 0.000 0.000 0.000
2 In 0.478 0.500 0.341
3 Hg 0.013 0.000 0.329
4 Pb 0.176 0.500 0.166
5 Pb 0.250 0.000 0.509
6 Pb 0.321 0.000 0.827
7 Pb 0.500 0.500 0.000

The formation energy from the elements comes out at 38 meV/atom.

Density functional theory data (PBE) for In7Hg12Pb after structural relaxation.

a = 16.9510 Å, b = 16.9510 Å, c = 6.8173 Å
α = 90.00°, β = 90.00°, γ = 120.00°
Space group R-3 (No. 148, hexagonal axes)
Asymmetric unit:
1 In 0.0000 0.0000 0.0000
2 In 0.0716 0.1890 0.2704
3 Hg 0.0392 0.6258 0.1523
4 Hg 0.0884 0.2324 0.8283
5 Pb 0.0000 0.0000 0.5000

The formation energy from the elements comes out at 34 meV/atom. The calculation puts the energy above the most stable polymorph in this dataset at 0 meV/atom.

Density functional theory data (PBE) for In6Hg3Pb2 after structural relaxation.

a = 3.4968 Å, b = 3.4968 Å, c = 86.1157 Å
α = 90.00°, β = 90.00°, γ = 120.00°
Space group R-3m (No. 166, hexagonal axes)
Asymmetric unit:
1 In 0.0000 0.0000 0.0862
2 In 0.0000 0.0000 0.1819
3 In 0.0000 0.0000 0.3619
4 Hg 0.0000 0.0000 0.0000
5 Hg 0.0000 0.0000 0.2763
6 Pb 0.0000 0.0000 0.4524

The formation energy from the elements comes out at 12 meV/atom. The calculation puts the energy above the most stable polymorph in this dataset at 0 meV/atom.

Density functional theory data (PBE) for In3Hg8Pb2 after structural relaxation.

a = 10.992 Å, b = 3.361 Å, c = 11.056 Å
α = 90.00°, β = 118.25°, γ = 90.00°
Space group P2/m (No. 10)
Asymmetric unit:
1 In 0.000 0.000 0.000
2 In 0.076 0.500 0.778
3 Hg 0.159 0.500 0.545
4 Hg 0.217 0.000 0.314
5 Hg 0.299 0.500 0.091
6 Hg 0.365 0.000 0.864
7 Pb 0.465 0.000 0.636

The formation energy from the elements comes out at 30 meV/atom. The calculation puts the energy above the most stable polymorph in this dataset at 0 meV/atom.

Density functional theory data (PBE) for In2Hg3Pb after structural relaxation.

a = 6.055 Å, b = 6.550 Å, c = 8.728 Å
α = 105.55°, β = 96.58°, γ = 93.90°
Space group P-1 (No. 2)
Asymmetric unit:
1 In 0.061 0.308 0.324
2 In 0.247 0.103 0.979
3 Hg 0.033 0.802 0.350
4 Hg 0.429 0.477 0.663
5 Hg 0.457 0.959 0.659
6 Pb 0.262 0.624 0.033

The formation energy from the elements comes out at 14 meV/atom. The calculation puts the energy above the most stable polymorph in this dataset at 0 meV/atom.

| no. | theoretical density (Mg/m³) |
| --- | --- |
| 1 | 11.5 |
| 2 | 10.1 |
| 3 | 10.0 |
| 4 | 9.3 |
| 5 | 10.9 |
| 6 | 10.5 |